Compound: HoMgTl2
Source: Alexandria
Functional: meta-GGA SCAN
Structure: PBEsol geometry

Cell lengths 7.3132, 7.3132, 7.3132 Å; angles 90.00, 90.00, 90.00 degrees
Atoms (fractional coordinates):
Ho  0.0000  0.0000  0.0000
Ho  0.0000  0.5000  0.5000
Ho  0.5000  0.0000  0.5000
Ho  0.5000  0.5000  0.0000
Mg  0.0000  0.0000  0.5000
Mg  0.0000  0.5000  0.0000
Mg  0.5000  0.0000  0.0000
Mg  0.5000  0.5000  0.5000
Tl  0.2500  0.2500  0.2500
Tl  0.2500  0.2500  0.7500
Tl  0.2500  0.7500  0.2500
Tl  0.2500  0.7500  0.7500
Tl  0.7500  0.2500  0.2500
Tl  0.7500  0.2500  0.7500
Tl  0.7500  0.7500  0.2500
Tl  0.7500  0.7500  0.7500

Output
As for the space group: Fm-3m, No. 225. The energy of formation is -365 meV/atom.

Compound: YHoMg2
Source: Alexandria
Functional: meta-GGA SCAN
Structure: PBEsol geometry

Cell lengths 7.4815, 7.4815, 7.4815 Å; angles 90.00, 90.00, 90.00 degrees
Atoms (fractional coordinates):
Y  0.0000  0.0000  0.0000
Y  0.0000  0.5000  0.5000
Y  0.5000  0.0000  0.5000
Y  0.5000  0.5000  0.0000
Ho  0.0000  0.0000  0.5000
Ho  0.0000  0.5000  0.0000
Ho  0.5000  0.0000  0.0000
Ho  0.5000  0.5000  0.5000
Mg  0.2500  0.2500  0.2500
Mg  0.2500  0.2500  0.7500
Mg  0.2500  0.7500  0.2500
Mg  0.2500  0.7500  0.7500
Mg  0.7500  0.2500  0.2500
Mg  0.7500  0.2500  0.7500
Mg  0.7500  0.7500  0.2500
Mg  0.7500  0.7500  0.7500

Output
As for the space group: Fm-3m, No. 225. The energy of formation is -90 meV/atom.

| no. | E_tot (eV per cell) |
| --- | --- |
| 1 | -800.5 |
| 2 | -348.5 |